This record from Alexandria via LeMat-Bulk describes a geometry-optimized Pm6Dy8Ho structure. The functional is PBE.

Structure (POSCAR):
```
Pm6Dy8Ho
1.0
9.3914 0.0000 0.0000
-4.6957 8.1332 0.0000
0.0000 0.0000 6.5106
Pm Dy Ho
6 8 1
Cartesian
-1.0239 2.3217 1.0830
-2.1731 7.8590 1.0830
1.4987 2.0475 5.4276
3.1970 6.0857 1.0830
6.8688 0.2742 5.4276
5.7196 5.8115 5.4276
-1.1862 3.5683 4.2976
0.0000 5.4222 0.7950
-1.0123 7.3763 4.2976
2.4972 2.8115 2.2130
2.1986 5.3218 4.2976
5.7081 0.7569 2.2130
4.6957 2.7111 5.7156
5.8819 4.5649 2.2130
0.0000 0.0000 3.2553
```

Output
space group	P-3, No. 147
DOS(E_F)	22.09	states/eV/cell
total energy	-4.48	eV/atom
calculated density	7.80	Mg/m³
E_form	0.18	eV/atom